## SrPWS2 (PBE)

Data for SrPWS2 after structural relaxation.

Values from the calculation:
- size of the total moment (μB/f.u.) = 0.00
- mass density (Mg/m³) = 5.577
- uncorrected formation energy (eV per atom) = -0.6448

abc: 4.7756 4.7756 4.7856
angles: 90.00 90.00 90.00
Last column: nearest neighbours and their distance in Å.
Element x y z (fractional)
Sr 0.5000 0.5000 0.5000  4 P 3.38, 8 S 3.38
S 0.0000 0.5000 0.0000  2 W 2.39
S 0.5000 0.0000 0.0000  2 W 2.39
W 0.0000 0.0000 0.0000  4 S 2.39, 2 P 2.39
P 0.0000 0.0000 0.5000  2 W 2.39